[1]
A relaxed SrLaTcGe2 crystal. Source: Alexandria via LeMat-Bulk, functional PBE.

The structure in extended XYZ format:
```
5
Lattice="5.423 0.000 0.000 0.000 5.423 0.000 0.000 0.000 4.927" Properties=species:S:1:pos:R:3 pbc="T T T"
Sr 0.000 0.000 0.000
La 2.712 2.712 2.463
Tc 0.000 0.000 2.463
Ge 0.000 2.712 0.000
Ge 2.712 0.000 0.000
```

energy of formation from the pure elements	1.13	eV per atom
space-group type	P4/mmm (123)

[2]
A relaxed Cu2Te2Cl crystal. Source: Alexandria via LeMat-Bulk, functional PBE.

The structure in extended XYZ format:
```
5
Lattice="-1.865 1.865 7.903 1.865 -1.865 7.903 1.865 1.865 -7.903" Properties=species:S:1:pos:R:3 pbc="T T T"
Cu 1.865 0.000 3.951
Cu 0.000 1.865 3.951
Te 0.000 0.000 2.087
Te 0.000 0.000 13.718
Cl 0.000 0.000 7.903
```

uncorrected formation energy	-76	meV per atom
space-group type	I4/mmm (139)

[3]
A relaxed Tl3AgSn3S8 crystal. Source: Alexandria via LeMat-Bulk, functional PBE.

The structure in extended XYZ format:
```
15
Lattice="6.650 -3.827 0.000 6.650 3.827 0.000 -4.433 0.000 7.491" Properties=species:S:1:pos:R:3 pbc="T T T"
Tl 0.000 0.000 0.000
Tl 3.325 1.913 0.000
Tl 3.325 -1.913 0.000
Ag -2.216 0.000 3.745
Sn 1.108 1.913 3.745
Sn 1.108 -1.913 3.745
Sn 4.433 0.000 3.745
S 3.289 1.846 5.180
S 0.098 0.000 5.189
S 2.216 0.000 2.241
S 5.578 1.846 2.311
S 3.289 -1.846 5.180
S 6.651 0.000 5.250
S 8.769 0.000 2.302
S 5.578 -1.846 2.311
```

uncorrected formation energy	-299	meV per atom
space-group type	C2/m (12)

Calculated volume values, unit Å³ per atom, following the record order: 29.0; 22.0; 25.4.